Entry 1:
A relaxed structure of La4HgPb5, computed with PBE.

Structure (CIF):
```
data_La4HgPb5
_chemical_formula_sum 'La8 Hg2 Pb10'
_space_group_name_H-M_alt 'C 1 2/m 1'
_space_group_IT_number 12
_space_group_name_Hall '-C 2y'
_cell_length_a 18.7797
_cell_length_b 5.0244
_cell_length_c 6.9305
_cell_angle_alpha 90.00
_cell_angle_beta 107.92
_cell_angle_gamma 90.00
loop_
_atom_site_label
_atom_site_fract_x
_atom_site_fract_y
_atom_site_fract_z
La1 0.0859 0.0000 0.3262
La2 0.2008 0.5000 0.1057
Hg1 0.0000 0.5000 0.0000
Pb1 0.0000 0.5000 0.5000
Pb2 0.1027 0.0000 0.8278
Pb3 0.2031 0.5000 0.5959
```

Values from the calculation:
Magnetic moment, μB/f.u.: 0.000
N(E_F), states/eV per atom: 0.5532
Energy of formation from the pure elements, eV/atom: -0.5161

---

Entry 2:
A relaxed structure of TiInSn2, computed with PBE.

Structure (CIF):
```
data_TiInSn2
_chemical_formula_sum 'Ti3 In3 Sn6'
_space_group_name_H-M_alt 'R -3 m'
_space_group_IT_number 166
_space_group_name_Hall '-R 3 2"'
_cell_length_a 3.4023
_cell_length_b 3.4023
_cell_length_c 28.2714
_cell_angle_alpha 90.00
_cell_angle_beta 90.00
_cell_angle_gamma 120.00
loop_
_atom_site_label
_atom_site_fract_x
_atom_site_fract_y
_atom_site_fract_z
Ti1 0.0000 0.0000 0.0000
In1 0.0000 0.0000 0.5000
Sn1 0.0000 0.0000 0.2578
```

Values from the calculation:
Magnetic moment, μB/f.u.: 0.000
N(E_F), states/eV per atom: 0.8300
Energy of formation from the pure elements, eV/atom: 0.0303

---

Entry 3:
A relaxed structure of KAlH2, computed with PBE.

Structure (CIF):
```
data_KAlH2
_chemical_formula_sum 'K2 Al2 H4'
_space_group_name_H-M_alt 'P 1 21/m 1'
_space_group_IT_number 11
_space_group_name_Hall '-P 2yb'
_cell_length_a 5.4022
_cell_length_b 4.6711
_cell_length_c 6.6395
_cell_angle_alpha 90.00
_cell_angle_beta 113.66
_cell_angle_gamma 90.00
loop_
_atom_site_label
_atom_site_fract_x
_atom_site_fract_y
_atom_site_fract_z
K1 0.1538 0.2500 0.3064
Al1 0.4470 0.2500 0.8953
H1 0.1216 0.2500 0.7174
H2 0.4112 0.7500 0.2880
```

Values from the calculation:
Magnetic moment, μB/f.u.: 0.000
ΔE to the lowest computed polymorph, meV per atom: 0

---

Volume for every record listed, in sequence, given in Å³/cell: 622.2, 283.4, 153.5.
VASP energy for every record listed, in sequence, given in eV/cell: -87.4, -55.6, -24.7.